## P
# Li2Cr2H4O9 PBE+U optimized geometry
data_Li2Cr2H4O9
_chemical_formula_sum 'Li4 Cr4 H8 O18'
_symmetry_space_group_name_H-M 'P 1'
_symmetry_Int_Tables_number 1
_cell_length_a 7.4645
_cell_length_b 7.4645
_cell_length_c 9.6897
_cell_angle_alpha 92.51
_cell_angle_beta 92.51
_cell_angle_gamma 62.43
loop_
_symmetry_equiv_pos_as_xyz
'x,y,z'
loop_
_atom_site_label
_atom_site_type_symbol
_atom_site_fract_x
_atom_site_fract_y
_atom_site_fract_z
O1 O 0.2330 0.5346 0.1877
H1 H 0.0086 0.5871 0.0693
O2 O 0.4563 0.0776 0.1466
H2 H 0.3818 0.7569 0.8122
Li1 Li 0.6783 0.5488 0.0401
O3 O 0.0776 0.4563 0.6466
O4 O 0.1389 0.0837 0.5660
O5 O 0.3639 0.7348 0.7116
O6 O 0.3443 0.5772 0.4520
Cr1 Cr 0.6957 0.2017 0.8174
Cr2 Cr 0.3098 0.9727 0.1128
O7 O 0.9656 0.8156 0.3545
O8 O 0.6278 0.8822 0.5147
O9 O 0.4109 0.7925 0.9925
O10 O 0.5772 0.3443 0.9520
H3 H 0.8681 0.2641 0.1766
Cr3 Cr 0.9727 0.3098 0.6128
H4 H 0.7569 0.3818 0.3122
O11 O 0.8156 0.9656 0.8545
Li2 Li 0.5041 0.3094 0.1403
O12 O 0.8639 0.2929 0.7677
O13 O 0.7925 0.4109 0.4925
H5 H 0.2641 0.8681 0.6766
Li3 Li 0.3094 0.5041 0.6403
O14 O 0.2929 0.8639 0.2677
O15 O 0.8822 0.6278 0.0147
Li4 Li 0.5488 0.6783 0.5401
Cr4 Cr 0.2017 0.6957 0.3174
O16 O 0.0837 0.1389 0.0660
H6 H 0.8631 0.7443 0.9610
H7 H 0.7443 0.8631 0.4610
O17 O 0.5346 0.2330 0.6877
O18 O 0.7348 0.3639 0.2116
H8 H 0.5871 0.0086 0.5693
# SG = Cc (9)
# volume = 478.0 Å³ per cell
# crystal system = monoclinic

## Q
# Li2Cr2H4O9 PBE+U optimized geometry
data_Li2Cr2H4O9
_chemical_formula_sum 'Li4 Cr4 H8 O18'
_symmetry_space_group_name_H-M 'P 1'
_symmetry_Int_Tables_number 1
_cell_length_a 5.4448
_cell_length_b 5.4448
_cell_length_c 13.0809
_cell_angle_alpha 86.01
_cell_angle_beta 86.01
_cell_angle_gamma 91.56
loop_
_symmetry_equiv_pos_as_xyz
'x,y,z'
loop_
_atom_site_label
_atom_site_type_symbol
_atom_site_fract_x
_atom_site_fract_y
_atom_site_fract_z
O1 O 0.0570 0.4687 0.3193
Cr1 Cr 0.9904 0.2556 0.6414
Cr2 Cr 0.0096 0.7444 0.3586
H1 H 0.4435 0.5809 0.8976
Cr3 Cr 0.2556 0.9904 0.1414
Li1 Li 0.2361 0.7639 0.7500
O2 O 0.5313 0.9430 0.1807
H2 H 0.4191 0.5565 0.6024
O3 O 0.9430 0.5313 0.6807
H3 H 0.6706 0.6492 0.1474
O4 O 0.2482 0.2691 0.0864
Li2 Li 0.5000 0.0000 0.5000
Cr4 Cr 0.7444 0.0096 0.8586
O5 O 0.7883 0.1850 0.5622
O6 O 0.2691 0.2482 0.5864
H4 H 0.5565 0.4191 0.1024
O7 O 0.7518 0.7309 0.9136
O8 O 0.4802 0.7100 0.6296
O9 O 0.8150 0.2117 0.9378
O10 O 0.9693 0.0307 0.7500
Li3 Li 0.7639 0.2361 0.2500
O11 O 0.2117 0.8150 0.4378
O12 O 0.2900 0.5198 0.8704
O13 O 0.5198 0.2900 0.3704
O14 O 0.4687 0.0570 0.8193
O15 O 0.7100 0.4802 0.1296
H5 H 0.5809 0.4435 0.3976
O16 O 0.0307 0.9693 0.2500
H6 H 0.3508 0.3294 0.3526
H7 H 0.3294 0.3508 0.8526
Li4 Li 0.0000 0.5000 0.0000
O17 O 0.1850 0.7883 0.0622
O18 O 0.7309 0.7518 0.4136
H8 H 0.6492 0.6706 0.6474
# SG = C2/c (15)
# volume = 385.7 Å³ per cell
# crystal system = monoclinic

The energy of each structure relative to the most stable one, in meV/atom, is as follows: P 14; Q 0.